VASP calculation (GGA-PBE) on a relaxed structure of Ag2HgRh.

Cell lengths 3.9201, 3.9201, 20.0616 Å; angles 90.00, 90.00, 90.00 degrees
Space group I-42d (No. 122)
Inequivalent atoms, fractional coordinates:
1 Ag 0.2444 0.2500 0.1250
2 Hg 0.0000 0.0000 0.5000
3 Rh 0.0000 0.0000 0.0000

Properties
total magnetization	0.000	μB/f.u.
energy of formation	0.349	eV per atom
Fermi-level density of states	2.32	states/eV/f.u.